No. 1
Material: Fe5Co3
Method: DFT, SCAN
State: PBEsol geometry

abc: 3.948 3.948 6.264
angles: 108.37 108.37 90.00
Fractional coordinates of all 8 atoms:
Co1 0.000 0.000 0.000
Co2 0.626 0.126 0.252
Co3 0.874 0.374 0.748
Fe1 0.250 0.250 0.500
Fe2 0.500 0.500 0.000
Fe3 0.124 0.624 0.247
Fe4 0.750 0.750 0.500
Fe5 0.376 0.876 0.753

**Electronic total energy**: -1.320 Ry per atom
**Distance to the lowest polymorph of the same formula**: 66 meV/atom
**Crystal system**: tetragonal
**DOS at the Fermi energy**: 0.35 states/eV/atom

---

No. 2
Material: Fe5Co3
Method: DFT, SCAN
State: PBEsol geometry

abc: 3.957 3.957 6.258
angles: 108.43 108.43 90.00
Fractional coordinates of all 8 atoms:
Co1 0.750 0.750 0.501
Co2 0.000 0.000 0.000
Co3 0.250 0.250 0.499
Fe1 0.375 0.875 0.750
Fe2 0.625 0.125 0.250
Fe3 0.875 0.375 0.750
Fe4 0.500 0.500 0.000
Fe5 0.125 0.625 0.250

**Electronic total energy**: -1.324 Ry per atom
**Distance to the lowest polymorph of the same formula**: 3 meV/atom
**Crystal system**: tetragonal
**DOS at the Fermi energy**: 0.20 states/eV/atom

---

No. 3
Material: Fe4Co3
Method: DFT, SCAN
State: PBEsol geometry

abc: 3.957 3.957 6.069
angles: 70.97 70.97 60.00
Fractional coordinates of all 7 atoms:
Co1 0.214 0.214 0.358
Co2 0.500 0.500 0.500
Co3 0.786 0.786 0.642
Fe1 0.072 0.072 0.784
Fe2 0.357 0.357 0.928
Fe3 0.643 0.643 0.072
Fe4 0.928 0.928 0.216

**Electronic total energy**: -1.315 Ry per atom
**Distance to the lowest polymorph of the same formula**: 28 meV/atom
**Crystal system**: trigonal
**DOS at the Fermi energy**: 0.48 states/eV/atom

---

No. 4
Material: Fe5Co3
Method: DFT, SCAN
State: PBEsol geometry

abc: 2.420 4.620 8.270
angles: 104.73 95.66 99.83
Fractional coordinates of all 8 atoms:
Co1 0.992 0.000 0.500
Co2 0.375 0.875 0.750
Co3 0.508 0.501 0.500
Fe1 0.748 0.749 0.999
Fe2 0.126 0.626 0.252
Fe3 0.874 0.374 0.748
Fe4 0.251 0.250 0.999
Fe5 0.626 0.126 0.251

**Electronic total energy**: -1.317 Ry per atom
**Distance to the lowest polymorph of the same formula**: 101 meV/atom
**Crystal system**: monoclinic
**DOS at the Fermi energy**: 0.48 states/eV/atom

---

No. 5
Material: FeCo7
Method: DFT, SCAN
State: PBEsol geometry

abc: 5.489 4.252 4.252
angles: 109.62 104.92 104.92
Fractional coordinates of all 8 atoms:
Co1 0.753 0.627 0.127
Co2 0.005 0.752 0.752
Co3 0.247 0.873 0.373
Co4 0.500 0.000 0.000
Co5 0.753 0.127 0.627
Co6 0.995 0.248 0.248
Co7 0.247 0.373 0.873
Fe1 0.500 0.500 0.500

**Electronic total energy**: -1.280 Ry per atom
**Distance to the lowest polymorph of the same formula**: 40 meV/atom
**Crystal system**: orthorhombic
**DOS at the Fermi energy**: 0.57 states/eV/atom

---

No. 6
Material: Fe2Co3
Method: DFT, SCAN
State: PBEsol geometry

abc: 2.421 3.915 6.068
angles: 108.82 97.86 90.00
Fractional coordinates of all 5 atoms:
Co1 0.729 0.800 0.600
Co2 0.271 0.200 0.400
Co3 0.500 0.000 0.000
Fe1 0.898 0.601 0.201
Fe2 0.102 0.399 0.799

**Electronic total energy**: -1.305 Ry per atom
**Distance to the lowest polymorph of the same formula**: 40 meV/atom
**Crystal system**: monoclinic
**DOS at the Fermi energy**: 0.58 states/eV/atom

---

No. 7
Material: Ga2FeCo
Method: DFT, SCAN
State: PBEsol geometry

abc: 2.841 2.841 5.686
angles: 90.00 90.00 90.00
Fractional coordinates of all 4 atoms:
Co1 0.000 0.000 0.000
Fe1 0.000 0.000 0.500
Ga1 0.500 0.500 0.251
Ga2 0.500 0.500 0.749

**Electronic total energy**: -1.258 Ry per atom
**Crystal system**: tetragonal
**DOS at the Fermi energy**: 0.60 states/eV/atom

---

No. 8
Material: Ga3Fe4Co8Si
Method: DFT, SCAN
State: PBEsol geometry

abc: 3.966 3.966 13.166
angles: 81.34 81.34 60.00
Fractional coordinates of all 16 atoms:
Ga1 0.750 0.750 0.749
Ga2 0.000 0.000 0.000
Ga3 0.250 0.250 0.251
Fe1 0.625 0.625 0.126
Fe2 0.375 0.375 0.874
Fe3 0.875 0.875 0.375
Fe4 0.125 0.125 0.625
Co1 0.937 0.937 0.189
Co2 0.688 0.688 0.937
Co3 0.186 0.186 0.442
Co4 0.439 0.439 0.682
Co5 0.561 0.561 0.318
Co6 0.312 0.312 0.063
Co7 0.814 0.814 0.558
Co8 0.063 0.063 0.811
Si1 0.500 0.500 0.500

**Electronic total energy**: -1.266 Ry per atom
**ΔE_f (raw)**: -0.353 eV/atom
**Crystal system**: trigonal
**DOS at the Fermi energy**: 0.26 states/eV/atom

---

No. 9
Material: GaFe4Co8Si3
Method: DFT, SCAN
State: PBEsol geometry

abc: 3.934 3.934 13.055
angles: 81.34 81.34 60.00
Fractional coordinates of all 16 atoms:
Ga1 0.000 0.000 0.000
Fe1 0.126 0.126 0.623
Fe2 0.874 0.874 0.377
Fe3 0.625 0.625 0.125
Fe4 0.375 0.375 0.875
Co1 0.812 0.812 0.563
Co2 0.562 0.562 0.313
Co3 0.311 0.311 0.068
Co4 0.064 0.064 0.807
Co5 0.188 0.188 0.437
Co6 0.936 0.936 0.193
Co7 0.689 0.689 0.932
Co8 0.438 0.438 0.687
Si1 0.750 0.750 0.749
Si2 0.500 0.500 0.500
Si3 0.250 0.250 0.251

**Electronic total energy**: -1.214 Ry per atom
**ΔE_f (raw)**: -0.437 eV/atom
**Crystal system**: trigonal
**DOS at the Fermi energy**: 0.16 states/eV/atom

---

No. 10
Material: GaFe2Co4Si
Method: DFT, SCAN
State: PBEsol geometry

abc: 3.950 3.950 6.852
angles: 73.25 73.25 60.00
Fractional coordinates of all 8 atoms:
Ga1 0.000 0.000 0.000
Fe1 0.251 0.251 0.248
Fe2 0.749 0.749 0.752
Co1 0.872 0.872 0.383
Co2 0.378 0.378 0.866
Co3 0.128 0.128 0.617
Co4 0.622 0.622 0.134
Si1 0.500 0.500 0.500

**Electronic total energy**: -1.241 Ry per atom
**ΔE_f (raw)**: -0.406 eV/atom
**Crystal system**: trigonal
**DOS at the Fermi energy**: 0.14 states/eV/atom

---

No. 11
Material: ZrGa6Fe3Co3
Method: DFT, SCAN
State: PBEsol geometry

abc: 4.891 6.335 6.354
angles: 80.31 67.84 67.83
Fractional coordinates of all 13 atoms:
Zr1 0.000 0.000 0.000
Ga1 0.678 0.825 0.821
Ga2 0.322 0.175 0.179
Ga3 0.008 0.666 0.338
Ga4 0.992 0.334 0.662
Ga5 0.663 0.340 0.345
Ga6 0.337 0.660 0.655
Fe1 0.500 0.000 0.500
Fe2 0.000 0.500 0.000
Fe3 0.500 0.500 0.000
Co1 0.486 0.245 0.760
Co2 0.514 0.755 0.240
Co3 0.000 0.000 0.500

**Electronic total energy**: -1.353 Ry per atom
**Crystal system**: triclinic
**DOS at the Fermi energy**: 0.55 states/eV/atom

---

No. 12
Material: SrGdFeCoO6
Method: DFT, SCAN
State: PBEsol geometry

abc: 5.305 5.305 5.305
angles: 60.00 60.00 60.00
Fractional coordinates of all 10 atoms:
Sr1 0.750 0.750 0.750
Gd1 0.250 0.250 0.250
Fe1 0.500 0.500 0.500
Co1 0.000 0.000 0.000
O1 0.750 0.750 0.250
O2 0.250 0.250 0.750
O3 0.750 0.250 0.250
O4 0.250 0.750 0.750
O5 0.250 0.750 0.250
O6 0.750 0.250 0.750

**Electronic total energy**: -1.305 Ry per atom
**ΔE_f (raw)**: -2.363 eV/atom
**Crystal system**: cubic
**DOS at the Fermi energy**: 0.37 states/eV/atom

---

Question: Number 10 is which compound?
Answer: GaFe2Co4Si

---

Question: Which value of electronic total energy does entry 5 give?
Answer: -1.280 Ry per atom

---

Question: Which formula does entry 8 have?
Answer: Ga3Fe4Co8Si

---

Question: Which formula does entry 9 have?
Answer: GaFe4Co8Si3